## CaLa2BiH (PBE-GGA)

Data for CaLa2BiH after structural relaxation.

The density of states at the Fermi level comes out at 5.6 states/eV per cell. The value obtained for the raw total energy is -21.7 eV/cell. The space group is P4/mmm (123).

Unit cell a=4.968 b=4.968 c=5.298 alpha=90.00 beta=90.00 gamma=90.00
Fractional coordinates of all 5 atoms:
1 Ca 0.000 0.000 0.000
2 La 0.000 0.500 0.500
3 La 0.500 0.000 0.500
4 Bi 0.500 0.500 0.000
5 H 0.000 0.000 0.500